1.
The following is a DFT calculation (GGA-PBE) of a geometry-optimized LuPuSnPt structure.

Results
E (Ha/atom): -0.2882
Space-group type: F-43m
Crystal system: cubic
DFT formation energy (eV/atom): -0.6172

a b c (Å): 5.1157 5.1157 5.1157
angles (deg): 60.00 60.00 60.00
Site moments in Bohr magnetons follow the coordinates.
Atoms (fractional coordinates):
Lu  0.0000  0.0000  0.0000  0.02
Sn  0.7500  0.7500  0.7500  -0.08
Pt  0.2500  0.2500  0.2500  -0.11
Pu  0.5000  0.5000  0.5000  5.23

2.
The following is a DFT calculation (GGA-PBE) of a geometry-optimized LuPuZnPt structure.

Results
E (Ha/atom): -0.2622
Space-group type: F-43m
Crystal system: cubic
DFT formation energy (eV/atom): -0.5938

a b c (Å): 4.9492 4.9492 4.9492
angles (deg): 60.00 60.00 60.00
Site moments in Bohr magnetons follow the coordinates.
Atoms (fractional coordinates):
Zn  0.2500  0.2500  0.2500  -0.01
Lu  0.5000  0.5000  0.5000  -0.08
Pt  0.7500  0.7500  0.7500  0.05
Pu  0.0000  0.0000  0.0000  -5.21

3.
The following is a DFT calculation (GGA-PBE) of a geometry-optimized LuPtRh structure.

Results
E (Ha/atom): -0.2497
Polymorph energy (0 for the lowest one) (eV per formula unit): 0.000
Space-group type: P-6m2
Crystal system: hexagonal
DFT formation energy (eV/atom): -0.8241

a b c (Å): 3.5054 4.3604 4.3604
angles (deg): 120.00 90.00 90.00
Atoms (fractional coordinates):
Lu  0.6667  0.6667  0.3333
Rh  0.1667  0.3333  0.6667
Pt  0.1667  0.0000  0.0000

4.
The following is a DFT calculation (GGA-PBE) of a geometry-optimized Lu2PtRh structure.

Results
E (Ha/atom): -0.2490
Space-group type: P4/mmm
Crystal system: tetragonal
DFT formation energy (eV/atom): -1.1662

a b c (Å): 3.3773 3.3773 6.8075
angles (deg): 90.00 90.00 90.00
Atoms (fractional coordinates):
Lu  0.0000  0.0000  0.7558
Lu  0.0000  0.0000  0.2442
Rh  0.5000  0.5000  0.0000
Pt  0.5000  0.5000  0.5000

5.
The following is a DFT calculation (GGA-PBE) of a geometry-optimized LuPtRh structure.

Results
E (Ha/atom): -0.2172
Polymorph energy (0 for the lowest one) (eV per formula unit): 2.653
Space-group type: I4mm
Crystal system: tetragonal
DFT formation energy (eV/atom): 0.0602

a b c (Å): 3.0308 3.0308 7.1860
angles (deg): 102.17 102.17 90.00
Site moments in Bohr magnetons follow the coordinates.
Atoms (fractional coordinates):
Lu  0.1344  0.1344  0.2688  -0.02
Rh  0.9539  0.9539  0.9078  0.41
Pt  0.7617  0.7617  0.5234  0.01

6.
The following is a DFT calculation (GGA-PBE) of a geometry-optimized LuSbPtRh structure.

Results
E (Ha/atom): -0.2310
Space-group type: F-43m
Crystal system: cubic

a b c (Å): 4.7360 4.7360 4.7360
angles (deg): 60.00 60.00 60.00
Atoms (fractional coordinates):
Sb  0.0000  0.0000  0.0000
Lu  0.5000  0.5000  0.5000
Rh  0.2500  0.2500  0.2500
Pt  0.7500  0.7500  0.7500

7.
The following is a DFT calculation (GGA-PBE) of a geometry-optimized LuScPtRh structure.

Results
E (Ha/atom): -0.2643
Space-group type: F-43m
Crystal system: cubic
DFT formation energy (eV/atom): -1.1317

a b c (Å): 4.7064 4.7064 4.7064
angles (deg): 60.00 60.00 60.00
Atoms (fractional coordinates):
Sc  0.5000  0.5000  0.5000
Lu  0.0000  0.0000  0.0000
Rh  0.2500  0.2500  0.2500
Pt  0.7500  0.7500  0.7500

8.
The following is a DFT calculation (GGA-PBE) of a geometry-optimized SmLuPtRh structure.

Results
E (Ha/atom): -0.2452
Space-group type: F-43m
Crystal system: cubic
DFT formation energy (eV/atom): -1.0141

a b c (Å): 4.8986 4.8986 4.8986
angles (deg): 60.00 60.00 60.00
Atoms (fractional coordinates):
Lu  0.0000  0.0000  0.0000
Rh  0.2500  0.2500  0.2500
Sm  0.5000  0.5000  0.5000
Pt  0.7500  0.7500  0.7500

9.
The following is a DFT calculation (GGA-PBE) of a geometry-optimized LuTlPtRh structure.

Results
E (Ha/atom): -0.2096
Space-group type: F-43m
Crystal system: cubic
DFT formation energy (eV/atom): -0.6323

a b c (Å): 4.7393 4.7393 4.7393
angles (deg): 60.00 60.00 60.00
Atoms (fractional coordinates):
Tl  0.0000  0.0000  0.0000
Lu  0.5000  0.5000  0.5000
Rh  0.7500  0.7500  0.7500
Pt  0.2500  0.2500  0.2500

10.
The following is a DFT calculation (GGA-PBE) of a geometry-optimized TmLuPtRh structure.

Results
E (Ha/atom): -0.2476
Space-group type: F-43m
Crystal system: cubic
DFT formation energy (eV/atom): -1.1400

a b c (Å): 4.8070 4.8070 4.8070
angles (deg): 60.00 60.00 60.00
Atoms (fractional coordinates):
Rh  0.2500  0.2500  0.2500
Lu  0.0000  0.0000  0.0000
Tm  0.5000  0.5000  0.5000
Pt  0.7500  0.7500  0.7500

11.
The following is a DFT calculation (GGA-PBE) of a geometry-optimized LuVPtRh structure.

Results
E (Ha/atom): -0.2698
Space-group type: F-43m
Crystal system: cubic
DFT formation energy (eV/atom): -0.5824

a b c (Å): 4.5936 4.5936 4.5936
angles (deg): 60.00 60.00 60.00
Site moments in Bohr magnetons follow the coordinates.
Atoms (fractional coordinates):
Lu  0.0000  0.0000  0.0000  0.00
Rh  0.2500  0.2500  0.2500  0.03
Pt  0.7500  0.7500  0.7500  0.14
V  0.5000  0.5000  0.5000  1.89

12.
The following is a DFT calculation (GGA-PBE) of a geometry-optimized LuZrPtRh structure.

Results
E (Ha/atom): -0.2787
Space-group type: F-43m
Crystal system: cubic
DFT formation energy (eV/atom): -0.9686

a b c (Å): 4.7543 4.7543 4.7543
angles (deg): 60.00 60.00 60.00
Atoms (fractional coordinates):
Lu  0.0000  0.0000  0.0000
Rh  0.2500  0.2500  0.2500
Zr  0.5000  0.5000  0.5000
Pt  0.7500  0.7500  0.7500

13.
The following is a DFT calculation (GGA-PBE) of a geometry-optimized Lu2RuPt structure.

Results
E (Ha/atom): -0.2577
Polymorph energy (0 for the lowest one) (eV per formula unit): 0.193
Space-group type: Fm-3m
Crystal system: cubic
DFT formation energy (eV/atom): -0.9219

a b c (Å): 4.7633 4.7633 4.7633
angles (deg): 60.00 60.00 60.00
Atoms (fractional coordinates):
Ru  0.0000  0.0000  0.0000
Lu  0.2500  0.2500  0.2500
Lu  0.7500  0.7500  0.7500
Pt  0.5000  0.5000  0.5000

14.
The following is a DFT calculation (GGA-PBE) of a geometry-optimized Lu2RuPt structure.

Results
E (Ha/atom): -0.2594
Polymorph energy (0 for the lowest one) (eV per formula unit): 0.000
Space-group type: P4/mmm
Crystal system: tetragonal
DFT formation energy (eV/atom): -0.9701

a b c (Å): 3.4068 3.4068 6.5862
angles (deg): 90.00 90.00 90.00
Atoms (fractional coordinates):
Ru  0.5000  0.5000  0.0000
Lu  0.0000  0.0000  0.7560
Lu  0.0000  0.0000  0.2440
Pt  0.5000  0.5000  0.5000

15.
The following is a DFT calculation (GGA-PBE) of a geometry-optimized SmLuRuPt structure.

Results
E (Ha/atom): -0.2533
Space-group type: F-43m
Crystal system: cubic
DFT formation energy (eV/atom): -0.7522

a b c (Å): 4.8740 4.8740 4.8740
angles (deg): 60.00 60.00 60.00
Atoms (fractional coordinates):
Ru  0.2500  0.2500  0.2500
Lu  0.0000  0.0000  0.0000
Sm  0.5000  0.5000  0.5000
Pt  0.7500  0.7500  0.7500

16.
The following is a DFT calculation (GGA-PBE) of a geometry-optimized LuSnRuPt structure.

Results
E (Ha/atom): -0.2423
Space-group type: F-43m
Crystal system: cubic
DFT formation energy (eV/atom): -0.6342

a b c (Å): 4.6840 4.6840 4.6840
angles (deg): 60.00 60.00 60.00
Site moments in Bohr magnetons follow the coordinates.
Atoms (fractional coordinates):
Ru  0.2500  0.2500  0.2500  -0.12
Lu  0.0000  0.0000  0.0000  0.00
Sn  0.5000  0.5000  0.5000  -0.01
Pt  0.7500  0.7500  0.7500  -0.04

17.
The following is a DFT calculation (GGA-PBE) of a geometry-optimized TbLuRuPt structure.

Results
E (Ha/atom): -0.2553
Space-group type: F-43m
Crystal system: cubic
DFT formation energy (eV/atom): -0.8299

a b c (Å): 4.8290 4.8290 4.8290
angles (deg): 60.00 60.00 60.00
Atoms (fractional coordinates):
Ru  0.0000  0.0000  0.0000
Lu  0.7500  0.7500  0.7500
Tb  0.2500  0.2500  0.2500
Pt  0.5000  0.5000  0.5000

18.
The following is a DFT calculation (GGA-PBE) of a geometry-optimized LuThRuPt structure.

Results
E (Ha/atom): -0.2793
Space-group type: F-43m
Crystal system: cubic
DFT formation energy (eV/atom): -0.7856

a b c (Å): 4.9483 4.9483 4.9483
angles (deg): 60.00 60.00 60.00
Atoms (fractional coordinates):
Ru  0.0000  0.0000  0.0000
Lu  0.2500  0.2500  0.2500
Pt  0.5000  0.5000  0.5000
Th  0.7500  0.7500  0.7500

19.
The following is a DFT calculation (GGA-PBE) of a geometry-optimized YLuRuPt structure.

Results
E (Ha/atom): -0.2722
Space-group type: F-43m
Crystal system: cubic
DFT formation energy (eV/atom): -0.8309

a b c (Å): 4.8247 4.8247 4.8247
angles (deg): 60.00 60.00 60.00
Atoms (fractional coordinates):
Y  0.7500  0.7500  0.7500
Ru  0.5000  0.5000  0.5000
Lu  0.2500  0.2500  0.2500
Pt  0.0000  0.0000  0.0000

20.
The following is a DFT calculation (GGA-PBE) of a geometry-optimized LuScPt2 structure.

Results
E (Ha/atom): -0.2572
Space-group type: Fm-3m
Crystal system: cubic
DFT formation energy (eV/atom): -1.2646

a b c (Å): 4.7608 4.7608 4.7608
angles (deg): 60.00 60.00 60.00
Atoms (fractional coordinates):
Sc  0.5000  0.5000  0.5000
Lu  0.0000  0.0000  0.0000
Pt  0.2500  0.2500  0.2500
Pt  0.7500  0.7500  0.7500